[1]
The following is a DFT calculation (PBE) of a relaxed structure of CrCo2Mo.

```
CrCo2Mo
1.0
2.580 0.070 0.000
-0.068 2.580 0.000
0.000 0.000 7.340
Co Mo Cr
2 1 1
Direct
0.500 0.500 0.249
0.000 0.000 0.020
0.500 0.500 0.761
0.000 0.000 0.470
```

Energy above the lowest structure with this stoichiometry   117 meV per atom
Total DFT energy (no corrections)   -8.5123 eV/atom
E_form   0.154 eV/atom

=====

[2]
The following is a DFT calculation (PBE) of a relaxed structure of CoIrPt2Br.

```
CoIrPt2Br
1.0
-1.233 2.106 -4.236
-3.215 -3.584 -0.846
-3.469 2.572 2.289
Ir Pt Co Br
1 2 1 1
Direct
0.000 0.000 0.000
0.000 0.500 0.000
0.500 0.000 0.000
0.500 0.500 0.500
0.000 0.000 0.500
```

Total DFT energy (no corrections)   -4.3881 eV/atom
Formation energy without anion corrections   1.56 eV per atom

=====

[3]
The following is a DFT calculation (PBE) of a relaxed structure of Ho2CuSe.

```
Ho2CuSe
1.0
-2.911 1.980 1.989
1.232 -1.619 3.415
6.413 9.535 -0.105
Ho Cu Se
4 2 2
Direct
0.250 0.321 0.642
0.750 0.934 0.868
0.250 0.066 0.132
0.750 0.679 0.358
0.750 0.538 0.077
0.250 0.462 0.923
0.250 0.194 0.387
0.750 0.806 0.613
```

Energy above the lowest structure with this stoichiometry   0 meV per atom
Total DFT energy (no corrections)   -5.1920 eV/atom
Formation energy without anion corrections   -1.01 eV per atom

=====

[4]
The following is a DFT calculation (PBE) of a relaxed structure of CrMoBr.

```
CrMoBr
1.0
4.188 0.000 0.000
-2.094 3.627 0.000
0.000 0.000 2.963
Br Cr Mo
1 1 1
Direct
0.000 0.000 0.167
0.333 0.667 0.166
0.667 0.333 0.667
```

Energy above the lowest structure with this stoichiometry   731 meV per atom
Total DFT energy (no corrections)   -6.5283 eV/atom
Formation energy without anion corrections   0.85 eV per atom

=====

The lowest total DFT energy (no corrections) belongs to which entry? CrCo2Mo